Compound: BaMn2HgF8
Source: Alexandria via LeMat-Bulk
Functional: PBE+U
Structure: relaxed

a = 4.916 Å, b = 6.143 Å, c = 6.736 Å
α = 100.40°, β = 103.25°, γ = 92.35°
Space group P-1 (No. 2)
Inequivalent atoms, fractional coordinates:
Ba1 0.000 0.000 0.000 (multiplicity 1)
Mn1 0.482 0.488 0.752 (multiplicity 2)
Hg1 0.000 0.000 0.500 (multiplicity 1)
F1 0.239 0.398 0.917 (multiplicity 2)
F2 0.258 0.405 0.385 (multiplicity 2)
F3 0.373 0.786 0.259 (multiplicity 2)
F4 0.377 0.779 0.809 (multiplicity 2)

Computed properties:
V, Å³/atom: 16.2
E, eV/atom: -5.20
Total magnetization, μB/atom: 0.665